An optimized crystal structure of Pm2Nd2In3. Source: Alexandria, functional PBE.

POSCAR file:
```
Pm2Nd2In3
1.0
4.5798 0.0000 0.0000
0.0000 25.0042 0.0000
0.0000 0.0000 3.5972
Pm Nd In
4 4 6
direct
0.0000 0.0687 0.0000
0.0000 0.9313 0.0000
0.5000 0.4313 0.0000
0.5000 0.5687 0.0000
0.0000 0.2009 0.0000
0.0000 0.7991 0.0000
0.5000 0.2991 0.0000
0.5000 0.7009 0.0000
0.0000 0.3614 0.5000
0.0000 0.5000 0.5000
0.0000 0.6386 0.5000
0.5000 0.0000 0.5000
0.5000 0.1386 0.5000
0.5000 0.8614 0.5000
```

**Symmetry**: Cmmm, No. 65
**Volume**: 29.4 Å³ per atom
**N(E_F)**: 0.980 states/eV per atom
**Energy relative to the elements**: -343 meV per atom
**Crystal system**: orthorhombic
**Polymorph energy (0 for the lowest one)**: 25 meV per atom
**E_tot**: -4.2359 eV/atom